A geometry-optimized NdDy2P structure, computed with PBE.

Results
energy relative to the elements = -2.2 eV per formula unit
ρ = 6.639 g/cm³
V = 31.3 A^3/atom
density of states at the Fermi level = 14.26 states/eV/cell

a b c (Å): 3.7512 3.7512 30.8005
angles (deg): 90.00 90.00 120.00
Space group R-3m (No. 166, hexagonal axes)
Symmetry-distinct sites (fractional):
Nd  0.0000  0.0000  0.0000 (multiplicity 3)
Dy  0.0000  0.0000  0.1141 (multiplicity 6)
P  0.0000  0.0000  0.5000 (multiplicity 3)

***

A geometry-optimized NdDy3P structure, computed with PBE.

Results
energy relative to the elements = -2.1 eV per formula unit
ρ = 6.987 g/cm³
V = 31.5 A^3/atom
density of states at the Fermi level = 8.46 states/eV/cell

a b c (Å): 5.400 5.400 5.400
angles (deg): 90.00 90.00 90.00
Space group Pm-3m (No. 221)
Symmetry-distinct sites (fractional):
Nd  0.000  0.000  0.000 (multiplicity 1)
Dy  0.000  0.500  0.500 (multiplicity 3)
P  0.500  0.500  0.500 (multiplicity 1)